(1)
A relaxed Zr3Se4 crystal. Source: Alexandria, functional PBE.

Calculated values
E_form (uncorrected): -1.215 eV per atom
DOS at the Fermi energy: 5.23 states/eV per cell
Calculated total energy: -6.87 eV/atom

Cell and atoms, written as CIF:
```
data_Zr3Se4
_chemical_formula_sum 'Zr6 Se8'
_space_group_name_H-M_alt 'I 4/m m m'
_space_group_IT_number 139
_space_group_name_Hall '-I 4 2'
_cell_length_a 3.614
_cell_length_b 3.614
_cell_length_c 22.239
_cell_angle_alpha 90.00
_cell_angle_beta 90.00
_cell_angle_gamma 90.00
loop_
_atom_site_label
_atom_site_fract_x
_atom_site_fract_y
_atom_site_fract_z
Zr1 0.000 0.000 0.000
Zr2 0.000 0.000 0.298
Se1 0.000 0.000 0.166
Se2 0.000 0.000 0.433
```


(2)
A relaxed SrAlCl2 crystal. Source: Alexandria, functional PBE.

Calculated values
E_form (uncorrected): -0.690 eV per atom
DOS at the Fermi energy: 12.89 states/eV per cell
Calculated total energy: -2.97 eV/atom

Cell and atoms, written as CIF:
```
data_SrAlCl2
_chemical_formula_sum 'Sr4 Al4 Cl8'
_space_group_name_H-M_alt 'F -4 3 m'
_space_group_IT_number 216
_space_group_name_Hall 'F -4 2 3'
_cell_length_a 7.572
_cell_length_b 7.572
_cell_length_c 7.572
_cell_angle_alpha 90.00
_cell_angle_beta 90.00
_cell_angle_gamma 90.00
loop_
_atom_site_label
_atom_site_fract_x
_atom_site_fract_y
_atom_site_fract_z
Sr1 0.000 0.000 0.000
Al1 0.250 0.250 0.750
Cl1 0.000 0.000 0.500
Cl2 0.250 0.250 0.250
```


(3)
A relaxed LiMn2RuN crystal. Source: Alexandria, functional PBE.

Calculated values
E_form (uncorrected): -0.006 eV per atom
DOS at the Fermi energy: 4.38 states/eV per cell
Calculated total energy: -7.58 eV/atom

Cell and atoms, written as CIF:
```
data_LiMn2RuN
_chemical_formula_sum 'Li1 Mn2 Ru1 N1'
_space_group_name_H-M_alt 'P 4/m m m'
_space_group_IT_number 123
_space_group_name_Hall '-P 4 2'
_cell_length_a 3.741
_cell_length_b 3.741
_cell_length_c 3.900
_cell_angle_alpha 90.00
_cell_angle_beta 90.00
_cell_angle_gamma 90.00
loop_
_atom_site_label
_atom_site_fract_x
_atom_site_fract_y
_atom_site_fract_z
Li1 0.000 0.000 0.000
Mn1 0.000 0.500 0.500
Ru1 0.500 0.500 0.000
N1 0.000 0.000 0.500
```